(P)
Below is an optimized crystal structure of SmErNCl3, with properties calculated at the PBE-GGA level.

Its calculated density is 5.1 g/cm³. The calculation puts the volume at 23.66 Å³/atom.

Cell and atoms, written as CIF:
```
data_SmErNCl3
_space_group_name_H-M_alt 'P 1'
_space_group_IT_number 1
_space_group_name_Hall 'P 1'
_cell_length_a 8.2885
_cell_length_b 8.2885
_cell_length_c 10.6750
_cell_angle_alpha 120.28
_cell_angle_beta 120.28
_cell_angle_gamma 26.92
loop_
_atom_site_label
_atom_site_type_symbol
_atom_site_fract_x
_atom_site_fract_y
_atom_site_fract_z
Cl1 Cl 0.2278 0.2278 0.1212
Cl2 Cl 0.9569 0.9569 0.2609
Cl3 Cl 0.3333 0.3333 0.4879
Cl4 Cl 0.6667 0.6667 0.5121
Cl5 Cl 0.0431 0.0431 0.7391
Cl6 Cl 0.7722 0.7722 0.8788
Er1 Er 0.1378 0.1378 0.2933
Er2 Er 0.8622 0.8622 0.7067
N1 N 0.5786 0.5786 0.1606
N2 N 0.4214 0.4214 0.8394
Sm1 Sm 0.4121 0.4121 0.0469
Sm2 Sm 0.5879 0.5879 0.9531
```

(Q)
Below is an optimized crystal structure of SmErNCl3, with properties calculated at the PBE-GGA level.

Its calculated density is 5.0 g/cm³. The calculation puts the volume at 24.28 Å³/atom.

Cell and atoms, written as CIF:
```
data_SmErNCl3
_space_group_name_H-M_alt 'P 1'
_space_group_IT_number 1
_space_group_name_Hall 'P 1'
_cell_length_a 8.3121
_cell_length_b 8.3121
_cell_length_c 10.7388
_cell_angle_alpha 119.48
_cell_angle_beta 119.48
_cell_angle_gamma 27.09
loop_
_atom_site_label
_atom_site_type_symbol
_atom_site_fract_x
_atom_site_fract_y
_atom_site_fract_z
Cl1 Cl 0.2186 0.2186 0.1075
Cl2 Cl 0.9477 0.9477 0.2432
Cl3 Cl 0.3377 0.3377 0.4865
Cl4 Cl 0.6623 0.6623 0.5135
Cl5 Cl 0.0523 0.0523 0.7568
Cl6 Cl 0.7814 0.7814 0.8925
Er1 Er 0.4158 0.4158 0.0449
Er2 Er 0.5842 0.5842 0.9551
N1 N 0.5743 0.5743 0.1532
N2 N 0.4257 0.4257 0.8468
Sm1 Sm 0.1375 0.1375 0.2917
Sm2 Sm 0.8625 0.8625 0.7083
```

Relative energy table, unit kJ/mol of atoms: (P) 3.0; (Q) 0.0

(P)
Below is an optimized crystal structure of Er3ClO4, with properties calculated at the PBE-GGA level.

Its calculated density is 7.8 g/cm³. The calculation puts the volume at 16.05 Å³/atom.

Cell and atoms, written as CIF:
```
data_Er3ClO4
_space_group_name_H-M_alt 'P 1'
_space_group_IT_number 1
_space_group_name_Hall 'P 1'
_cell_length_a 3.8316
_cell_length_b 3.8316
_cell_length_c 8.7447
_cell_angle_alpha 90.00
_cell_angle_beta 90.00
_cell_angle_gamma 90.00
loop_
_atom_site_label
_atom_site_type_symbol
_atom_site_fract_x
_atom_site_fract_y
_atom_site_fract_z
Cl1 Cl 0.5000 0.5000 0.5000
Er1 Er 0.5000 0.5000 0.0000
Er2 Er 0.0000 0.0000 0.2617
Er3 Er 0.0000 0.0000 0.7383
O1 O 0.5000 0.0000 0.1564
O2 O 0.0000 0.5000 0.1564
O3 O 0.5000 0.0000 0.8436
O4 O 0.0000 0.5000 0.8436
```

(Q)
Below is an optimized crystal structure of Er3ClO4, with properties calculated at the PBE-GGA level.

Its calculated density is 7.6 g/cm³. The calculation puts the volume at 16.45 Å³/atom.

Cell and atoms, written as CIF:
```
data_Er3ClO4
_space_group_name_H-M_alt 'P 1'
_space_group_IT_number 1
_space_group_name_Hall 'P 1'
_cell_length_a 6.0846
_cell_length_b 6.0846
_cell_length_c 11.4949
_cell_angle_alpha 90.00
_cell_angle_beta 90.00
_cell_angle_gamma 141.80
loop_
_atom_site_label
_atom_site_type_symbol
_atom_site_fract_x
_atom_site_fract_y
_atom_site_fract_z
Cl1 Cl 0.0000 0.0000 0.0000
Cl2 Cl 0.0000 0.0000 0.5000
Er1 Er 0.6799 0.3201 0.1014
Er2 Er 0.3761 0.6239 0.2500
Er3 Er 0.6799 0.3201 0.3986
Er4 Er 0.3201 0.6799 0.6014
Er5 Er 0.6239 0.3761 0.7500
Er6 Er 0.3201 0.6799 0.8986
O1 O 0.2679 0.7321 0.0889
O2 O 0.8024 0.1976 0.2500
O3 O 0.5611 0.4389 0.2500
O4 O 0.2679 0.7321 0.4111
O5 O 0.7321 0.2679 0.5889
O6 O 0.4389 0.5611 0.7500
O7 O 0.1976 0.8024 0.7500
O8 O 0.7321 0.2679 0.9111
```

Relative energy table, unit kJ/mol of atoms: (P) 17.1; (Q) 0.0

(P)
Below is an optimized crystal structure of ErSCl3, with properties calculated at the PBE-GGA level.

Its calculated density is 2.8 g/cm³. The calculation puts the volume at 36.41 Å³/atom.

Cell and atoms, written as CIF:
```
data_ErSCl3
_space_group_name_H-M_alt 'P 1'
_space_group_IT_number 1
_space_group_name_Hall 'P 1'
_cell_length_a 6.8100
_cell_length_b 6.8100
_cell_length_c 9.0291
_cell_angle_alpha 93.46
_cell_angle_beta 93.46
_cell_angle_gamma 118.86
loop_
_atom_site_label
_atom_site_type_symbol
_atom_site_fract_x
_atom_site_fract_y
_atom_site_fract_z
Cl1 Cl 0.8992 0.8992 0.1644
Cl2 Cl 0.5212 0.1484 0.1670
Cl3 Cl 0.1484 0.5212 0.1670
Cl4 Cl 0.8516 0.4788 0.8330
Cl5 Cl 0.4788 0.8516 0.8330
Cl6 Cl 0.1008 0.1008 0.8356
Er1 Er 0.8310 0.1690 0.0000
Er2 Er 0.1690 0.8310 0.0000
S1 S 0.6165 0.6165 0.4543
S2 S 0.3835 0.3835 0.5457
```

(Q)
Below is an optimized crystal structure of ErSCl3, with properties calculated at the PBE-GGA level.

Its calculated density is 3.3 g/cm³. The calculation puts the volume at 31.23 Å³/atom.

Cell and atoms, written as CIF:
```
data_ErSCl3
_space_group_name_H-M_alt 'P 1'
_space_group_IT_number 1
_space_group_name_Hall 'P 1'
_cell_length_a 7.4322
_cell_length_b 7.4322
_cell_length_c 6.7365
_cell_angle_alpha 90.16
_cell_angle_beta 90.16
_cell_angle_gamma 122.93
loop_
_atom_site_label
_atom_site_type_symbol
_atom_site_fract_x
_atom_site_fract_y
_atom_site_fract_z
Cl1 Cl 0.5007 0.0880 0.2355
Cl2 Cl 0.0880 0.5007 0.2355
Cl3 Cl 0.6904 0.6904 0.3487
Cl4 Cl 0.3096 0.3096 0.6513
Cl5 Cl 0.9120 0.4993 0.7645
Cl6 Cl 0.4993 0.9120 0.7645
Er1 Er 0.8170 0.1830 0.0000
Er2 Er 0.1830 0.8170 0.0000
S1 S 0.9349 0.9349 0.1736
S2 S 0.0651 0.0651 0.8264
```

Relative energy table, unit kJ/mol of atoms: (P) 0.0; (Q) 13.8

(P)
Below is an optimized crystal structure of FeSnCl4, with properties calculated at the PBE-GGA level.

Its calculated density is 3.0 g/cm³. The calculation puts the volume at 29.16 Å³/atom.

Cell and atoms, written as CIF:
```
data_FeSnCl4
_space_group_name_H-M_alt 'P 1'
_space_group_IT_number 1
_space_group_name_Hall 'P 1'
_cell_length_a 5.5309
_cell_length_b 5.7990
_cell_length_c 6.0205
_cell_angle_alpha 69.74
_cell_angle_beta 83.72
_cell_angle_gamma 75.06
loop_
_atom_site_label
_atom_site_type_symbol
_atom_site_fract_x
_atom_site_fract_y
_atom_site_fract_z
Cl1 Cl 0.3167 0.7993 0.2377
Cl2 Cl 0.7632 0.1500 0.3226
Cl3 Cl 0.2356 0.1786 0.6585
Cl4 Cl 0.6834 0.5567 0.7887
Fe1 Fe 0.0304 0.2055 0.9848
Sn1 Sn 0.3618 0.4258 0.1080
```

(Q)
Below is an optimized crystal structure of FeSnCl4, with properties calculated at the PBE-GGA level.

Its calculated density is 3.1 g/cm³. The calculation puts the volume at 28.05 Å³/atom.

Cell and atoms, written as CIF:
```
data_FeSnCl4
_space_group_name_H-M_alt 'P 1'
_space_group_IT_number 1
_space_group_name_Hall 'P 1'
_cell_length_a 3.6924
_cell_length_b 3.8436
_cell_length_c 12.1370
_cell_angle_alpha 99.16
_cell_angle_beta 98.12
_cell_angle_gamma 90.34
loop_
_atom_site_label
_atom_site_type_symbol
_atom_site_fract_x
_atom_site_fract_y
_atom_site_fract_z
Cl1 Cl 0.3691 0.8341 0.1421
Cl2 Cl 0.0376 0.4473 0.3940
Cl3 Cl 0.1674 0.5904 0.6720
Cl4 Cl 0.7657 0.2227 0.9207
Fe1 Fe 0.3192 0.2803 0.0354
Sn1 Sn 0.6112 0.8239 0.5328
```

(R)
Below is an optimized crystal structure of FeSnCl4, with properties calculated at the PBE-GGA level.

Its calculated density is 3.3 g/cm³. The calculation puts the volume at 26.56 Å³/atom.

Cell and atoms, written as CIF:
```
data_FeSnCl4
_space_group_name_H-M_alt 'P 1'
_space_group_IT_number 1
_space_group_name_Hall 'P 1'
_cell_length_a 3.7852
_cell_length_b 6.0937
_cell_length_c 6.9285
_cell_angle_alpha 94.28
_cell_angle_beta 89.99
_cell_angle_gamma 89.98
loop_
_atom_site_label
_atom_site_type_symbol
_atom_site_fract_x
_atom_site_fract_y
_atom_site_fract_z
Cl1 Cl 0.4943 0.0186 0.1274
Cl2 Cl 0.9942 0.4872 0.2983
Cl3 Cl 0.9945 0.9915 0.7002
Cl4 Cl 0.4940 0.4603 0.8710
Fe1 Fe 0.9938 0.2394 0.9992
Sn1 Sn 0.4945 0.2393 0.4992
```

Relative energy table, unit kJ/mol of atoms: (P) 6.7; (Q) 1.3; (R) 0.0

(P)
Below is an optimized crystal structure of FeSnCl4, with properties calculated at the PBE-GGA level.

Its calculated density is 3.1 g/cm³. The calculation puts the volume at 27.83 Å³/atom.

Cell and atoms, written as CIF:
```
data_FeSnCl4
_space_group_name_H-M_alt 'P 1'
_space_group_IT_number 1
_space_group_name_Hall 'P 1'
_cell_length_a 3.5767
_cell_length_b 7.0207
_cell_length_c 6.8851
_cell_angle_alpha 88.27
_cell_angle_beta 75.10
_cell_angle_gamma 89.97
loop_
_atom_site_label
_atom_site_type_symbol
_atom_site_fract_x
_atom_site_fract_y
_atom_site_fract_z
Cl1 Cl 0.6524 0.2804 0.0220
Cl2 Cl 0.9703 0.9516 0.3913
Cl3 Cl 0.3887 0.5101 0.5565
Cl4 Cl 0.6913 0.8384 0.9435
Fe1 Fe 0.1364 0.0482 0.0550
Sn1 Sn 0.0270 0.5920 0.2759
```

(Q)
Below is an optimized crystal structure of FeSnCl4, with properties calculated at the PBE-GGA level.

Its calculated density is 3.5 g/cm³. The calculation puts the volume at 24.99 Å³/atom.

Cell and atoms, written as CIF:
```
data_FeSnCl4
_space_group_name_H-M_alt 'P 1'
_space_group_IT_number 1
_space_group_name_Hall 'P 1'
_cell_length_a 3.7660
_cell_length_b 6.3897
_cell_length_c 7.0252
_cell_angle_alpha 71.10
_cell_angle_beta 74.37
_cell_angle_gamma 72.80
loop_
_atom_site_label
_atom_site_type_symbol
_atom_site_fract_x
_atom_site_fract_y
_atom_site_fract_z
Cl1 Cl 0.1818 0.3538 0.1295
Cl2 Cl 0.7756 0.8932 0.4012
Cl3 Cl 0.9090 0.3334 0.6957
Cl4 Cl 0.4971 0.8744 0.9783
Fe1 Fe 0.8486 0.1123 0.0370
Sn1 Sn 0.4589 0.5577 0.3707
```

Relative energy table, unit kJ/mol of atoms: (P) 1.1; (Q) 0.0